[1]
DFT (GGA-PBE) results for a relaxed structure of HgP2.

a = 5.5811 Å, b = 5.5811 Å, c = 5.5811 Å
α = 114.39°, β = 114.39°, γ = 100.02°
Sites, in units of the cell vectors:
Hg 0.2500 0.2500 0.0000
Hg 0.7500 0.7500 0.0000
P 0.3827 0.8827 0.2654
P 0.6173 0.1173 0.7346
P 0.1173 0.3827 0.5000
P 0.8827 0.6173 0.5000

Summary:
* space group: I4/mcm, No. 140
* DFT formation energy: 511 meV/atom
* Fermi-level density of states: 0.61 states/eV/f.u.
* uncorrected energy: -3.197 eV/atom


[2]
DFT (GGA-PBE) results for a relaxed structure of K5Na3Ta6Nb2O24.

a = 8.0140 Å, b = 8.0566 Å, c = 8.0886 Å
α = 89.87°, β = 90.00°, γ = 90.00°
Sites, in units of the cell vectors:
K 0.0000 0.2520 0.7513
K 0.0000 0.2527 0.2532
K 0.5000 0.2523 0.7519
K 0.5000 0.2526 0.2529
K 0.5000 0.7507 0.2525
Na 0.0000 0.7621 0.7685
Na 0.0000 0.7591 0.2681
Na 0.5000 0.7621 0.7688
Ta 0.2493 0.0025 0.0059
Ta 0.2491 0.5060 0.0068
Ta 0.2497 0.0043 0.5070
Ta 0.7507 0.0025 0.0059
Ta 0.7509 0.5060 0.0068
Ta 0.7503 0.0043 0.5070
Nb 0.2494 0.5092 0.5091
Nb 0.7506 0.5092 0.5091
O 0.0000 0.9920 0.9935
O 0.0000 0.5015 0.9909
O 0.0000 0.9914 0.4968
O 0.0000 0.4969 0.4942
O 0.5000 0.9939 0.9943
O 0.5000 0.5007 0.9929
O 0.5000 0.9910 0.4982
O 0.5000 0.4984 0.4946
O 0.2496 0.9915 0.7464
O 0.2501 0.5013 0.7460
O 0.2470 0.9936 0.2456
O 0.2476 0.5007 0.2430
O 0.7504 0.9915 0.7464
O 0.7499 0.5013 0.7460
O 0.7530 0.9936 0.2456
O 0.7524 0.5007 0.2430
O 0.2492 0.2466 0.9956
O 0.2498 0.7480 0.9916
O 0.2502 0.2439 0.4973
O 0.2458 0.7477 0.4945
O 0.7508 0.2466 0.9956
O 0.7502 0.7480 0.9916
O 0.7498 0.2439 0.4973
O 0.7542 0.7477 0.4945

Summary:
* space group: Pm, No. 6
* Fermi-level density of states: 0.00 states/eV/f.u.
* energy relative to the elements, uncorrected: -2.595 eV per atom
* uncorrected energy: -8.088 eV/atom


[3]
DFT (GGA-PBE) results for a relaxed structure of UGa2Cu3.

a = 5.3054 Å, b = 5.3054 Å, c = 3.9954 Å
α = 90.00°, β = 90.00°, γ = 120.00°
Last column: magnetic moment on the atom in μB.
Sites, in units of the cell vectors:
U 0.0000 0.0000 0.0000  2.51
Ga 0.6667 0.3333 0.0000  0.01
Ga 0.3333 0.6667 0.0000  0.01
Cu 0.5000 0.5000 0.5000  0.02
Cu 0.5000 0.0000 0.5000  0.02
Cu 0.0000 0.5000 0.5000  0.02

Summary:
* space group: P6/mmm, No. 191
* DFT formation energy: 13 meV/atom
* Fermi-level density of states: 10.72 states/eV/f.u.
* uncorrected energy: -4.925 eV/atom